[1]
Entry from Alexandria via LeMat-Bulk: LaPm2Er after structural relaxation (PBE).

abc: 8.206 8.206 8.206
angles: 90.00 90.00 90.00
Space group Fm-3m (No. 225)
Inequivalent atoms, fractional coordinates:
La 0.000 0.000 0.000
Pm 0.250 0.250 0.250
Er 0.000 0.000 0.500

Computed properties:
The total moment comes out at 0.3548 μB/atom. For the relative energy among the computed polymorphs, the calculation gives 132 meV/atom. As for the density of states at the Fermi level: 2.440 states/eV per atom. Its formation energy from the elements is 0.15 eV per atom.


[2]
Entry from Alexandria via LeMat-Bulk: LaPmEr5 after structural relaxation (PBE).

abc: 5.758 8.620 11.816
angles: 90.00 90.00 90.00
Space group Immm (No. 71)
Inequivalent atoms, fractional coordinates:
La 0.000 0.000 0.000
Pm 0.000 0.000 0.500
Er 0.000 0.000 0.254
Er 0.000 0.321 0.500
Er 0.000 0.500 0.000

Computed properties:
The total moment comes out at 0.0003 μB/atom. For the relative energy among the computed polymorphs, the calculation gives 914 meV/atom. As for the density of states at the Fermi level: 1.503 states/eV per atom. Its formation energy from the elements is 1.12 eV per atom.


[3]
Entry from Alexandria via LeMat-Bulk: La4Pm2Er after structural relaxation (PBE).

abc: 6.363 9.736 9.739
angles: 60.12 71.13 83.84
Space group P1 (No. 1)
Inequivalent atoms, fractional coordinates:
La 0.000 0.000 0.000
La 0.000 0.285 0.572
La 0.001 0.852 0.716
La 0.003 0.574 0.140
La 0.498 0.500 0.502
La 0.500 0.068 0.649
La 0.501 0.215 0.932
La 0.501 0.927 0.359
Pm 0.001 0.145 0.284
Pm 0.001 0.713 0.430
Pm 0.501 0.638 0.791
Pm 0.506 0.358 0.214
Er 0.000 0.428 0.858
Er 0.501 0.783 0.074

Computed properties:
The total moment comes out at 0.0000 μB/atom. For the relative energy among the computed polymorphs, the calculation gives 0 meV/atom. As for the density of states at the Fermi level: 1.838 states/eV per atom. Its formation energy from the elements is 0.02 eV per atom.


[4]
Entry from Alexandria via LeMat-Bulk: La2PmEr9 after structural relaxation (PBE).

abc: 5.037 5.037 15.126
angles: 90.00 90.00 90.00
Space group P4/mmm (No. 123)
Inequivalent atoms, fractional coordinates:
La 0.000 0.000 0.166
Pm 0.000 0.000 0.500
Er 0.000 0.500 0.000
Er 0.000 0.500 0.336
Er 0.500 0.500 0.168
Er 0.500 0.500 0.500

Computed properties:
The total moment comes out at 0.0000 μB/atom. As for the density of states at the Fermi level: 1.545 states/eV per atom. Its formation energy from the elements is 0.03 eV per atom.


[5]
Entry from Alexandria via LeMat-Bulk: La2Pm5Er after structural relaxation (PBE).

abc: 5.741 12.053 16.351
angles: 90.00 90.00 90.00
Space group Cmcm (No. 63)
Inequivalent atoms, fractional coordinates:
La 0.000 0.220 0.130
Pm 0.000 0.078 0.591
Pm 0.000 0.383 0.552
Pm 0.000 0.464 0.250
Er 0.000 0.257 0.750

Computed properties:
The total moment comes out at 0.0000 μB/atom. As for the density of states at the Fermi level: 1.569 states/eV per atom. Its formation energy from the elements is 0.12 eV per atom.


[6]
Entry from Alexandria via LeMat-Bulk: LaPm2Er5 after structural relaxation (PBE).

abc: 7.142 14.306 5.058
angles: 90.00 90.00 90.00
Space group Pbam (No. 55)
Inequivalent atoms, fractional coordinates:
La 0.000 0.000 0.000
Pm 0.246 0.373 0.500
Er 0.000 0.500 0.000
Er 0.004 0.748 0.000
Er 0.248 0.126 0.500

Computed properties:
The total moment comes out at 0.0000 μB/atom. For the relative energy among the computed polymorphs, the calculation gives 0 meV/atom. As for the density of states at the Fermi level: 1.373 states/eV per atom. Its formation energy from the elements is 0.02 eV per atom.


[7]
Entry from Alexandria via LeMat-Bulk: La12PmEr5 after structural relaxation (PBE).

abc: 6.363 11.030 18.062
angles: 90.00 96.70 90.00
Space group C2/m (No. 12)
Inequivalent atoms, fractional coordinates:
La 0.113 0.000 0.338
La 0.113 0.333 0.338
La 0.218 0.500 0.165
La 0.222 0.168 0.165
Pm 0.000 0.000 0.000
Er 0.000 0.167 0.500
Er 0.000 0.333 0.000
Er 0.000 0.500 0.500

Computed properties:
The total moment comes out at 0.0000 μB/atom. As for the density of states at the Fermi level: 1.594 states/eV per atom. Its formation energy from the elements is 0.02 eV per atom.


[8]
Entry from Alexandria via LeMat-Bulk: La4Pm2Er3 after structural relaxation (PBE).

abc: 14.464 11.749 3.709
angles: 90.00 90.61 90.00
Space group C2/m (No. 12)
Inequivalent atoms, fractional coordinates:
La 0.128 0.247 0.280
Pm 0.210 0.000 0.719
Er 0.000 0.000 0.000
Er 0.093 0.500 0.766

Computed properties:
The total moment comes out at 0.0004 μB/atom. For the relative energy among the computed polymorphs, the calculation gives 64 meV/atom. As for the density of states at the Fermi level: 1.474 states/eV per atom. Its formation energy from the elements is 0.12 eV per atom.


[9]
Entry from Alexandria via LeMat-Bulk: La7PmEr3 after structural relaxation (PBE).

abc: 11.826 10.340 6.490
angles: 90.00 96.36 90.00
Space group C2/m (No. 12)
Inequivalent atoms, fractional coordinates:
La 0.000 0.000 0.000
La 0.236 0.500 0.212
La 0.244 0.320 0.736
Pm 0.000 0.000 0.500
Er 0.000 0.334 0.000
Er 0.000 0.500 0.500

Computed properties:
The total moment comes out at 0.0000 μB/atom. For the relative energy among the computed polymorphs, the calculation gives 43 meV/atom. As for the density of states at the Fermi level: 1.499 states/eV per atom. Its formation energy from the elements is 0.22 eV per atom.


[10]
Entry from Alexandria via LeMat-Bulk: La4Pm3Er4 after structural relaxation (PBE).

abc: 10.816 5.789 12.075
angles: 90.00 90.00 90.00
Space group Amm2 (No. 38)
Inequivalent atoms, fractional coordinates:
La 0.000 0.000 0.000
La 0.208 0.000 0.803
La 0.500 0.000 0.919
Pm 0.000 0.000 0.293
Pm 0.289 0.000 0.455
Er 0.000 0.000 0.596
Er 0.307 0.000 0.149
Er 0.500 0.000 0.646

Computed properties:
The total moment comes out at 0.0000 μB/atom. As for the density of states at the Fermi level: 1.604 states/eV per atom. Its formation energy from the elements is 0.15 eV per atom.


[11]
Entry from Alexandria via LeMat-Bulk: La2Pm2Er after structural relaxation (PBE).

abc: 9.700 8.268 9.440
angles: 90.00 114.01 90.00
Space group C2/c (No. 15)
Inequivalent atoms, fractional coordinates:
La 0.116 0.168 0.149
Pm 0.165 0.441 0.477
Er 0.000 0.218 0.750

Computed properties:
The total moment comes out at 0.0000 μB/atom. For the relative energy among the computed polymorphs, the calculation gives 0 meV/atom. As for the density of states at the Fermi level: 1.322 states/eV per atom. Its formation energy from the elements is 0.11 eV per atom.


[12]
Entry from Alexandria via LeMat-Bulk: LaPm7Er4 after structural relaxation (PBE).

abc: 6.312 7.287 8.977
angles: 89.99 76.38 90.00
Space group P-1 (No. 2)
Inequivalent atoms, fractional coordinates:
La 0.000 0.000 0.000
Pm 0.000 0.500 0.000
Pm 0.223 0.000 0.336
Pm 0.281 0.748 0.663
Pm 0.500 0.254 0.999
Er 0.218 0.500 0.336
Er 0.278 0.255 0.665

Computed properties:
The total moment comes out at 0.0000 μB/atom. For the relative energy among the computed polymorphs, the calculation gives 0 meV/atom. As for the density of states at the Fermi level: 1.454 states/eV per atom. Its formation energy from the elements is 0.00 eV per atom.


[13]
Entry from Alexandria via LeMat-Bulk: La4Pm5Er after structural relaxation (PBE).

abc: 6.693 6.716 8.667
angles: 69.96 77.19 85.41
Space group P-1 (No. 2)
Inequivalent atoms, fractional coordinates:
La 0.024 0.296 0.397
La 0.321 0.977 0.182
Pm 0.159 0.184 0.812
Pm 0.268 0.626 0.934
Pm 0.500 0.500 0.500
Er 0.500 0.000 0.500

Computed properties:
The total moment comes out at 0.0000 μB/atom. For the relative energy among the computed polymorphs, the calculation gives 0 meV/atom. As for the density of states at the Fermi level: 1.505 states/eV per atom. Its formation energy from the elements is 0.14 eV per atom.


[14]
Entry from Alexandria via LeMat-Bulk: La3PmEr4 after structural relaxation (PBE).

abc: 11.610 7.320 6.334
angles: 90.00 90.00 90.00
Space group Pmn2_1 (No. 31)
Inequivalent atoms, fractional coordinates:
La 0.000 0.128 0.000
La 0.249 0.126 0.333
Pm 0.000 0.868 0.502
Er 0.000 0.381 0.501
Er 0.000 0.621 0.004
Er 0.249 0.619 0.333

Computed properties:
The total moment comes out at 0.0000 μB/atom. For the relative energy among the computed polymorphs, the calculation gives 0 meV/atom. As for the density of states at the Fermi level: 1.808 states/eV per atom. Its formation energy from the elements is 0.03 eV per atom.


[15]
Entry from Alexandria via LeMat-Bulk: La5Pm12Er2 after structural relaxation (PBE).

abc: 18.279 9.325 8.913
angles: 90.00 117.53 90.00
Space group C2/m (No. 12)
Inequivalent atoms, fractional coordinates:
La 0.000 0.000 0.000
La 0.211 0.500 0.723
La 0.237 0.000 0.797
Pm 0.047 0.000 0.686
Pm 0.063 0.500 0.224
Pm 0.125 0.280 0.957
Pm 0.146 0.184 0.408
Er 0.000 0.327 0.500

Computed properties:
The total moment comes out at 0.0000 μB/atom. For the relative energy among the computed polymorphs, the calculation gives 87 meV/atom. As for the density of states at the Fermi level: 1.567 states/eV per atom. Its formation energy from the elements is 0.18 eV per atom.


[16]
Entry from Alexandria via LeMat-Bulk: LaPm6Er3 after structural relaxation (PBE).

abc: 9.9372 9.9372 12.0077
angles: 90.00 90.00 120.00
Space group R32 (No. 155, hexagonal axes)
Inequivalent atoms, fractional coordinates:
La 0.0000 0.0000 0.0000
Pm 0.0000 0.3310 0.0000
Pm 0.0000 0.6728 0.5000
Er 0.0000 0.0000 0.2548
Er 0.0000 0.0000 0.5000

Computed properties:
The total moment comes out at 0.0000 μB/atom. As for the density of states at the Fermi level: 1.990 states/eV per atom. Its formation energy from the elements is 0.24 eV per atom.


[17]
Entry from Alexandria via LeMat-Bulk: LaPmEr4 after structural relaxation (PBE).

abc: 11.305 5.040 7.159
angles: 90.00 108.47 90.00
Space group C2/m (No. 12)
Inequivalent atoms, fractional coordinates:
La 0.000 0.000 0.000
Pm 0.000 0.000 0.500
Er 0.168 0.500 0.832
Er 0.169 0.500 0.336

Computed properties:
The total moment comes out at 0.0001 μB/atom. For the relative energy among the computed polymorphs, the calculation gives 0 meV/atom. As for the density of states at the Fermi level: 1.411 states/eV per atom. Its formation energy from the elements is 0.03 eV per atom.


[18]
Entry from Alexandria via LeMat-Bulk: LaPm4Er after structural relaxation (PBE).

abc: 3.660 5.119 10.986
angles: 90.00 90.00 90.00
Space group Pmmm (No. 47)
Inequivalent atoms, fractional coordinates:
La 0.000 0.000 0.000
Pm 0.000 0.000 0.337
Pm 0.500 0.500 0.172
Er 0.500 0.500 0.500

Computed properties:
The total moment comes out at 0.0000 μB/atom. For the relative energy among the computed polymorphs, the calculation gives 2 meV/atom. As for the density of states at the Fermi level: 1.548 states/eV per atom. Its formation energy from the elements is 0.02 eV per atom.


[19]
Entry from Alexandria via LeMat-Bulk: La6PmEr2 after structural relaxation (PBE).

abc: 9.508 17.945 3.702
angles: 90.00 90.00 90.00
Space group Cmmm (No. 65)
Inequivalent atoms, fractional coordinates:
La 0.173 0.166 0.000
La 0.175 0.000 0.500
Pm 0.000 0.500 0.000
Er 0.000 0.324 0.500

Computed properties:
The total moment comes out at 0.0000 μB/atom. For the relative energy among the computed polymorphs, the calculation gives 60 meV/atom. As for the density of states at the Fermi level: 1.516 states/eV per atom. Its formation energy from the elements is 0.12 eV per atom.


[20]
Entry from Alexandria via LeMat-Bulk: La12Pm2Er5 after structural relaxation (PBE).

abc: 13.316 11.832 9.552
angles: 90.00 117.23 90.00
Space group C2/m (No. 12)
Inequivalent atoms, fractional coordinates:
La 0.063 0.000 0.274
La 0.099 0.500 0.421
La 0.104 0.241 0.906
La 0.214 0.239 0.312
Pm 0.000 0.213 0.500
Er 0.000 0.500 0.000
Er 0.197 0.000 0.733
Er 0.218 0.500 0.863

Computed properties:
The total moment comes out at 0.0000 μB/atom. For the relative energy among the computed polymorphs, the calculation gives 12 meV/atom. As for the density of states at the Fermi level: 1.584 states/eV per atom. Its formation energy from the elements is 0.10 eV per atom.